P:
! VInTe3 GGA-PBE relaxed; values from VASP
&SYSTEM
  ibrav = 0, nat = 10, ntyp = 3
/
ATOMIC_SPECIES
V 50.94 V.upf
In 114.82 In.upf
Te 127.60 Te.upf
CELL_PARAMETERS angstrom
7.474 0.000 0.000
0.000 4.212 0.000
-0.697 0.000 9.542
ATOMIC_POSITIONS angstrom
V 0.526 1.053 1.228
V 6.250 3.159 8.314
In 2.046 1.053 5.756
In 4.730 3.159 3.786
Te -0.057 3.159 3.011
Te 1.133 3.159 9.456
Te 2.925 1.053 2.968
Te 3.851 3.159 6.574
Te 5.644 1.053 0.086
Te 6.833 1.053 6.531
! Volume in Å³/atom: 30.04
! Crystal system: monoclinic
! Magnetic moment in μB/f.u.: 1.995

***

Q:
! VInTe3 GGA-PBE relaxed; values from VASP
&SYSTEM
  ibrav = 0, nat = 5, ntyp = 3
/
ATOMIC_SPECIES
V 50.94 V.upf
In 114.82 In.upf
Te 127.60 Te.upf
CELL_PARAMETERS angstrom
5.331 0.000 0.000
0.000 5.331 0.000
0.000 0.000 5.331
ATOMIC_POSITIONS angstrom
V 0.000 0.000 0.000
In 2.666 2.666 2.666
Te 0.000 0.000 2.666
Te 0.000 2.666 0.000
Te 2.666 0.000 0.000
! Volume in Å³/atom: 30.31
! Crystal system: cubic
! Magnetic moment in μB/f.u.: 1.099

***

Which of them is least stable? Easy: Q.

***

P:
! InTeW GGA-PBE relaxed; values from VASP
&SYSTEM
  ibrav = 0, nat = 3, ntyp = 3
/
ATOMIC_SPECIES
In 114.82 In.upf
Te 127.60 Te.upf
W 183.84 W.upf
CELL_PARAMETERS angstrom
-1.613 1.613 6.636
1.613 -1.613 6.636
1.613 1.613 -6.636
ATOMIC_POSITIONS angstrom
In 0.000 0.000 0.000
Te 0.000 0.000 3.564
W 0.000 0.000 8.621
! Volume in Å³/atom: 23.02
! Crystal system: tetragonal
! Magnetic moment in μB/f.u.: 0.000

***

Q:
! InTeW GGA-PBE relaxed; values from VASP
&SYSTEM
  ibrav = 0, nat = 3, ntyp = 3
/
ATOMIC_SPECIES
In 114.82 In.upf
Te 127.60 Te.upf
W 183.84 W.upf
CELL_PARAMETERS angstrom
3.384 0.000 0.000
-1.692 2.931 0.000
0.000 0.000 6.765
ATOMIC_POSITIONS angstrom
In 0.000 0.000 0.000
Te 1.692 0.977 2.757
W 0.000 1.954 4.615
! Volume in Å³/atom: 22.36
! Crystal system: trigonal
! Magnetic moment in μB/f.u.: 0.000

***

Which of them is least stable? Easy: P.

***

P:
! In3TeW GGA-PBE relaxed; values from VASP
&SYSTEM
  ibrav = 0, nat = 5, ntyp = 3
/
ATOMIC_SPECIES
In 114.82 In.upf
Te 127.60 Te.upf
W 183.84 W.upf
CELL_PARAMETERS angstrom
5.665 0.000 0.000
0.000 5.665 0.000
0.000 0.000 5.665
ATOMIC_POSITIONS angstrom
In 0.000 0.000 2.833
In 0.000 2.833 0.000
In 2.833 0.000 0.000
Te 0.000 0.000 0.000
W 2.833 2.833 2.833
! Volume in Å³/atom: 36.36
! Crystal system: cubic
! Magnetic moment in μB/f.u.: 4.478

***

Q:
! In3TeW GGA-PBE relaxed; values from VASP
&SYSTEM
  ibrav = 0, nat = 5, ntyp = 3
/
ATOMIC_SPECIES
In 114.82 In.upf
Te 127.60 Te.upf
W 183.84 W.upf
CELL_PARAMETERS angstrom
5.419 0.000 0.000
0.000 5.419 0.000
0.000 0.000 5.419
ATOMIC_POSITIONS angstrom
In 0.000 0.000 2.709
In 0.000 2.709 0.000
In 2.709 0.000 0.000
Te 2.709 2.709 2.709
W 0.000 0.000 0.000
! Volume in Å³/atom: 31.82
! Crystal system: cubic
! Magnetic moment in μB/f.u.: 2.991

***

Which of them is least stable? Easy: P.